Entry 1:
Here is an optimized crystal structure of ZrCrW2 from Alexandria via LeMat-Bulk. Energies are from PBEsol.

a = 3.171 Å, b = 4.438 Å, c = 4.438 Å
α = 90.00°, β = 90.00°, γ = 90.00°
Fractional coordinates of all 4 atoms:
Cr  0.500  0.000  0.000
W  0.000  0.000  0.500
W  0.000  0.500  0.000
Zr  0.500  0.500  0.500

Values from the calculation:
Energy of formation from the pure elements in meV per atom: 297
Excess energy over the best structure of this formula in the dataset in eV/atom: 0.166

=====

Entry 2:
Here is an optimized crystal structure of ZrCrW2 from Alexandria via LeMat-Bulk. Energies are from PBEsol.

a = 4.444 Å, b = 4.444 Å, c = 4.444 Å
α = 60.00°, β = 60.00°, γ = 60.00°
Fractional coordinates of all 4 atoms:
Cr  0.000  0.000  0.000
W  0.250  0.250  0.250
W  0.750  0.750  0.750
Zr  0.500  0.500  0.500

Values from the calculation:
Energy of formation from the pure elements in meV per atom: 255
Excess energy over the best structure of this formula in the dataset in eV/atom: 0.124

=====

Entry 3:
Here is an optimized crystal structure of YCr5 from Alexandria via LeMat-Bulk. Energies are from PBEsol.

a = 4.880 Å, b = 4.880 Å, c = 4.880 Å
α = 60.00°, β = 60.00°, γ = 60.00°
Last column: magnetic moment on the atom in μB.
Fractional coordinates of all 6 atoms:
Cr  0.376  0.376  0.376  -0.02
Cr  0.750  0.750  0.750  0.11
Cr  0.872  0.376  0.376  -0.02
Cr  0.376  0.872  0.376  -0.02
Cr  0.376  0.376  0.872  -0.02
Y  0.000  0.000  0.000  -0.01

Values from the calculation:
Energy of formation from the pure elements in meV per atom: 416

=====

Entry 4:
Here is an optimized crystal structure of Y4Cr from Alexandria via LeMat-Bulk. Energies are from PBEsol.

a = 4.136 Å, b = 4.136 Å, c = 9.243 Å
α = 102.93°, β = 102.93°, γ = 90.00°
Last column: magnetic moment on the atom in μB.
Fractional coordinates of all 5 atoms:
Cr  0.000  0.000  0.000  3.76
Y  0.250  0.750  0.500  -0.02
Y  0.412  0.412  0.824  -0.06
Y  0.588  0.588  0.176  -0.06
Y  0.750  0.250  0.500  -0.02

Values from the calculation:
Energy of formation from the pure elements in meV per atom: 784
Excess energy over the best structure of this formula in the dataset in eV/atom: 0.438

=====

Entry 5:
Here is an optimized crystal structure of Y3Cr2 from Alexandria via LeMat-Bulk. Energies are from PBEsol.

a = 3.368 Å, b = 3.368 Å, c = 12.226 Å
α = 82.08°, β = 82.08°, γ = 60.00°
Last column: magnetic moment on the atom in μB.
Fractional coordinates of all 5 atoms:
Cr  0.604  0.604  0.188  3.07
Cr  0.396  0.396  0.812  3.07
Y  0.000  0.000  0.000  -0.09
Y  0.790  0.790  0.630  -0.12
Y  0.210  0.210  0.370  -0.12

Values from the calculation:
Energy of formation from the pure elements in meV per atom: 669
Excess energy over the best structure of this formula in the dataset in eV/atom: 0.121

=====

Entry 6:
Here is an optimized crystal structure of YCr3 from Alexandria via LeMat-Bulk. Energies are from PBEsol.

a = 2.901 Å, b = 3.580 Å, c = 6.142 Å
α = 90.00°, β = 101.37°, γ = 90.00°
Fractional coordinates of all 4 atoms:
Cr  0.079  0.000  0.838
Cr  0.921  0.000  0.162
Cr  0.500  0.500  0.000
Y  0.500  0.500  0.500

Values from the calculation:
Energy of formation from the pure elements in meV per atom: 494

=====

Entry 7:
Here is an optimized crystal structure of YCr2 from Alexandria via LeMat-Bulk. Energies are from PBEsol.

a = 3.006 Å, b = 4.322 Å, c = 8.768 Å
α = 101.81°, β = 90.00°, γ = 110.35°
Fractional coordinates of all 6 atoms:
Cr  0.993  0.986  0.846
Cr  0.332  0.664  0.944
Cr  0.668  0.336  0.056
Cr  0.007  0.014  0.154
Y  0.337  0.674  0.347
Y  0.663  0.326  0.653

Values from the calculation:
Energy of formation from the pure elements in meV per atom: 472

=====

Entry 8:
Here is an optimized crystal structure of YCr from Alexandria via LeMat-Bulk. Energies are from PBEsol.

a = 4.987 Å, b = 4.987 Å, c = 4.987 Å
α = 60.00°, β = 60.00°, γ = 60.00°
Last column: magnetic moment on the atom in μB.
Fractional coordinates of all 4 atoms:
Cr  0.500  0.500  0.500  3.54
Cr  0.750  0.750  0.750  3.54
Y  0.250  0.250  0.250  0.10
Y  0.000  0.000  0.000  0.10

Values from the calculation:
Energy of formation from the pure elements in meV per atom: 769

=====

Entry 9:
Here is an optimized crystal structure of YCr from Alexandria via LeMat-Bulk. Energies are from PBEsol.

a = 4.124 Å, b = 4.124 Å, c = 4.124 Å
α = 60.00°, β = 60.00°, γ = 60.00°
Last column: magnetic moment on the atom in μB.
Fractional coordinates of all 2 atoms:
Y  0.500  0.500  0.500  0.20
Cr  0.000  0.000  0.000  3.65

Values from the calculation:
Energy of formation from the pure elements in meV per atom: 1033

=====

Entry 10:
Here is an optimized crystal structure of YCr3 from Alexandria via LeMat-Bulk. Energies are from PBEsol.

a = 3.054 Å, b = 4.555 Å, c = 5.167 Å
α = 106.63°, β = 90.00°, γ = 109.58°
Fractional coordinates of all 4 atoms:
Cr  0.789  0.578  0.871
Cr  0.211  0.422  0.129
Cr  0.500  0.000  0.000
Y  0.000  0.000  0.500

Values from the calculation:
Energy of formation from the pure elements in meV per atom: 549

=====

Entry 11:
Here is an optimized crystal structure of YCr from Alexandria via LeMat-Bulk. Energies are from PBEsol.

a = 3.358 Å, b = 4.871 Å, c = 5.988 Å
α = 114.00°, β = 106.28°, γ = 90.00°
Last column: magnetic moment on the atom in μB.
Fractional coordinates of all 4 atoms:
Cr  0.149  0.899  0.298  2.95
Cr  0.851  0.101  0.702  2.95
Y  0.607  0.357  0.214  -0.20
Y  0.393  0.643  0.786  -0.20

Values from the calculation:
Energy of formation from the pure elements in meV per atom: 645

=====

Entry 12:
Here is an optimized crystal structure of Y3Cr from Alexandria via LeMat-Bulk. Energies are from PBEsol.

a = 4.444 Å, b = 4.846 Å, c = 4.846 Å
α = 90.00°, β = 90.00°, γ = 90.00°
Last column: magnetic moment on the atom in μB.
Fractional coordinates of all 4 atoms:
Cr  0.000  0.000  0.000  3.46
Y  0.500  0.000  0.500  -0.20
Y  0.500  0.500  0.000  -0.20
Y  0.000  0.500  0.500  -0.24

Values from the calculation:
Energy of formation from the pure elements in meV per atom: 382